First-principles (SCAN) data for a crystal of KCa2Mn relaxed with PBEsol, as listed in Alexandria.

Computed properties:
Its space group is I4/mmm, No. 139. The energy above the most stable polymorph in this dataset comes out at 77.9 meV per atom. The calculation puts the size of the total moment at 5.5 μB/cell.

Structure (POSCAR):
```
KCa2Mn
1.0
5.734 0.000 0.000
-2.867 4.958 0.094
0.000 3.226 4.740
Mn K Ca
1 1 2
direct
0.000 0.000 0.000 Mn
0.500 0.000 0.500 K
0.750 0.500 0.750 Ca
0.250 0.500 0.250 Ca
```